# CdO

Crystalline CdO at its relaxed geometry (PBE, OQMD).

The structure in POSCAR format:
```
CdO
1.0
-1.983 -3.332 3.804
-5.320 -1.080 0.158
-1.813 -4.929 -1.385
O Cd
4 4
Direct
0.125 0.625 0.125 O
0.125 0.125 0.625 O
0.125 0.125 0.125 O
0.625 0.125 0.125 O
0.125 0.625 0.625 Cd
0.625 0.625 0.625 Cd
0.625 0.625 0.125 Cd
0.625 0.125 0.625 Cd
```

Values from the calculation:
The crystal system is cubic. The calculation puts the density at 7.529 g/cm³. Its total energy is -19.20 eV for the cell shown.